No. 1
Density functional theory data (GGA-PBE) for Mg3Zn5H12 after structural relaxation.

## Properties
D(E_F)	0.222	states/eV per atom
ρ	3.47	Mg/m³

a = 10.083 Å, b = 10.083 Å, c = 10.083 Å
α = 109.47°, β = 109.47°, γ = 109.47°
Positions (direct):
1 H 0.089 0.182 0.218
2 H 0.371 0.964 0.782
3 H 0.818 0.907 0.036
4 H 0.818 0.911 0.282
5 H 0.593 0.629 0.411
6 Zn 0.625 0.750 0.875
7 H 0.629 0.593 0.911
8 Zn 0.000 0.000 0.000
9 H 0.871 0.282 0.464
10 H 0.129 0.411 0.093
11 H 0.371 0.407 0.089
12 H 0.911 0.818 0.782
13 Zn 0.750 0.125 0.875
14 H 0.411 0.282 0.318
15 Mg 0.125 0.250 0.875
16 Zn 0.375 0.250 0.125
17 H 0.129 0.718 0.536
18 Mg 0.875 0.750 0.125
19 Mg 0.250 0.125 0.375
20 H 0.964 0.593 0.182
21 Zn 0.500 0.000 0.000
22 Mg 0.625 0.375 0.750
23 Zn 0.500 0.500 0.000
24 H 0.182 0.089 0.718
25 Mg 0.375 0.625 0.250
26 H 0.907 0.089 0.871
27 H 0.782 0.464 0.371
28 H 0.871 0.589 0.907
29 H 0.036 0.629 0.718
30 Zn 0.500 0.500 0.500
31 Zn 0.875 0.250 0.625
32 H 0.093 0.182 0.464
33 Mg 0.125 0.875 0.750
34 Mg 0.375 0.750 0.625
35 H 0.318 0.536 0.407
36 H 0.218 0.536 0.629
37 Zn 0.250 0.875 0.125
38 H 0.036 0.407 0.818
39 H 0.718 0.129 0.036
40 H 0.911 0.093 0.629
41 H 0.407 0.036 0.318
42 H 0.089 0.907 0.371
43 H 0.589 0.871 0.407
44 H 0.536 0.318 0.907
45 H 0.182 0.093 0.964
46 H 0.782 0.318 0.911
47 H 0.536 0.218 0.129
48 H 0.464 0.782 0.871
49 H 0.682 0.464 0.593
50 H 0.318 0.782 0.411
51 Zn 0.875 0.625 0.750
52 H 0.718 0.589 0.182
53 H 0.593 0.964 0.682
54 Zn 0.125 0.375 0.250
55 Zn 0.000 0.500 0.500
56 Zn 0.750 0.625 0.375
57 H 0.629 0.036 0.218
58 Zn 0.250 0.375 0.625
59 H 0.907 0.818 0.536
60 H 0.464 0.682 0.093
61 Zn 0.500 0.000 0.500
62 H 0.411 0.129 0.593
63 Mg 0.625 0.250 0.375
64 H 0.589 0.718 0.682
65 Zn 0.000 0.500 0.000
66 H 0.282 0.871 0.964
67 H 0.407 0.371 0.589
68 Zn 0.625 0.875 0.250
69 Mg 0.750 0.875 0.625
70 Zn 0.375 0.125 0.750
71 Zn 0.000 0.000 0.500
72 Mg 0.875 0.125 0.250
73 H 0.218 0.682 0.089
74 H 0.282 0.411 0.818
75 H 0.093 0.911 0.129
76 H 0.964 0.371 0.282
77 Mg 0.250 0.625 0.875
78 Mg 0.750 0.375 0.125
79 Zn 0.125 0.750 0.375
80 H 0.682 0.218 0.589

No. 2
Density functional theory data (GGA-PBE) for CdPd3 after structural relaxation.

## Properties
calculated formation energy	-0.25	eV/atom
D(E_F)	1.429	states/eV per atom
ρ	10.95	Mg/m³

a = 4.018 Å, b = 4.018 Å, c = 8.593 Å
α = 103.57°, β = 103.57°, γ = 90.00°
Positions (direct):
1 Pd 0.000 0.500 0.000
2 Pd 0.625 0.625 0.251
3 Pd 0.375 0.375 0.749
4 Pd 0.500 0.000 0.000
5 Pd 0.250 0.750 0.500
6 Cd 0.876 0.876 0.751
7 Cd 0.124 0.124 0.249
8 Pd 0.750 0.250 0.500

No. 3
Density functional theory data (GGA-PBE) for BaCo2HgTe after structural relaxation.

## Properties
formation energy (no corrections)	1.524	eV per atom
D(E_F)	1.435	states/eV per atom
ρ	5.72	Mg/m³

a = 5.062 Å, b = 6.610 Å, c = 5.062 Å
α = 90.00°, β = 90.00°, γ = 90.00°
Positions (direct):
1 Te 0.000 0.500 0.000
2 Co 0.500 0.000 0.000
3 Co 0.000 0.000 0.500
4 Hg 0.500 0.500 0.500
5 Ba 0.000 0.000 0.000

No. 4
Density functional theory data (GGA-PBE) for TbMn3Ge3 after structural relaxation.

## Properties
calculated formation energy	0.30	eV/atom
D(E_F)	1.540	states/eV per atom
ρ	6.13	Mg/m³
energy above the most stable polymorph in this dataset	0.00	eV/f.u.

a = 6.645 Å, b = 6.645 Å, c = 6.645 Å
α = 90.00°, β = 90.00°, γ = 90.00°
Positions (direct):
1 Ge 0.750 0.500 0.000
2 Mn 0.750 0.000 0.500
3 Tb 0.500 0.500 0.500
4 Mn 0.250 0.000 0.500
5 Mn 0.000 0.500 0.250
6 Mn 0.000 0.500 0.750
7 Mn 0.500 0.250 0.000
8 Ge 0.250 0.500 0.000
9 Mn 0.500 0.750 0.000
10 Ge 0.500 0.000 0.250
11 Ge 0.000 0.250 0.500
12 Tb 0.000 0.000 0.000
13 Ge 0.500 0.000 0.750
14 Ge 0.000 0.750 0.500

No. 5
Density functional theory data (GGA-PBE) for Nd4Pt2I3 after structural relaxation.

## Properties
formation energy (no corrections)	-1.198	eV per atom
D(E_F)	0.650	states/eV per atom
ρ	7.20	Mg/m³

a = 4.253 Å, b = 4.253 Å, c = 19.856 Å
α = 90.05°, β = 89.95°, γ = 120.00°
Positions (direct):
1 Nd 0.001 0.999 0.712
2 I 0.334 0.666 0.603
3 Nd 0.999 0.001 0.288
4 Pt 0.667 0.333 0.797
5 Nd 0.666 0.334 0.128
6 Pt 0.333 0.667 0.203
7 I 0.000 0.000 0.000
8 Nd 0.334 0.666 0.872
9 I 0.666 0.334 0.397

No. 6
Density functional theory data (GGA-PBE) for Pm2PrPu after structural relaxation.

## Properties
calculated formation energy	0.13	eV/atom
D(E_F)	2.966	states/eV per atom
ρ	8.41	Mg/m³
energy above the most stable polymorph in this dataset	0.05	eV/f.u.

a = 3.622 Å, b = 3.622 Å, c = 11.919 Å
α = 81.26°, β = 81.26°, γ = 60.00°
Positions (direct):
1 Pr 0.500 0.500 0.499
2 Pm 0.080 0.080 0.759
3 Pu 0.667 0.667 0.000
4 Pm 0.253 0.253 0.241

No. 7
Density functional theory data (GGA-PBE) for Mg6Cu16Si7 after structural relaxation.

## Properties
formation energy (no corrections)	-0.184	eV per atom
D(E_F)	0.213	states/eV per atom
ρ	5.64	Mg/m³

a = 8.272 Å, b = 8.272 Å, c = 8.272 Å
α = 60.00°, β = 60.00°, γ = 60.00°
Positions (direct):
1 Cu 0.667 0.667 0.667
2 Cu 0.333 0.333 0.001
3 Cu 0.333 0.333 0.333
4 Si 0.000 0.000 0.000
5 Cu 0.667 0.999 0.667
6 Si 0.000 0.500 0.500
7 Cu 0.360 0.880 0.880
8 Cu 0.120 0.120 0.640
9 Si 0.000 0.000 0.500
10 Cu 0.667 0.667 0.999
11 Cu 0.120 0.640 0.120
12 Si 0.500 0.000 0.500
13 Cu 0.120 0.120 0.120
14 Mg 0.297 0.297 0.703
15 Mg 0.703 0.703 0.297
16 Cu 0.333 0.001 0.333
17 Si 0.500 0.500 0.000
18 Cu 0.880 0.880 0.880
19 Si 0.000 0.500 0.000
20 Mg 0.703 0.297 0.297
21 Mg 0.703 0.297 0.703
22 Cu 0.880 0.880 0.360
23 Si 0.500 0.000 0.000
24 Mg 0.297 0.703 0.297
25 Cu 0.880 0.360 0.880
26 Mg 0.297 0.703 0.703
27 Cu 0.999 0.667 0.667
28 Cu 0.001 0.333 0.333
29 Cu 0.640 0.120 0.120

No. 8
Density functional theory data (GGA-PBE) for BaAgSe after structural relaxation.

## Properties
formation energy (no corrections)	-1.037	eV per atom
D(E_F)	0.008	states/eV per atom
ρ	5.62	Mg/m³
energy above the most stable polymorph in this dataset	0.11	eV/f.u.

a = 4.373 Å, b = 4.747 Å, c = 18.458 Å
α = 90.00°, β = 90.00°, γ = 90.00°
Positions (direct):
1 Se 0.000 0.000 0.694
2 Se 0.000 0.000 0.995
3 Ag 0.000 0.500 0.780
4 Ba 0.500 0.500 0.624
5 Ag 0.000 0.500 0.929
6 Se 0.000 0.500 0.495
7 Se 0.000 0.500 0.194
8 Ba 0.500 0.500 0.354
9 Ba 0.500 0.000 0.854
10 Ag 0.000 0.000 0.429
11 Ba 0.500 0.000 0.124
12 Ag 0.000 0.000 0.280

no.,total DFT energy (no corrections) (eV/cell)
1,-188.318
2,-34.974
3,-11.956
4,-87.845
5,-46.585
6,-28.103
7,-118.400
8,-45.475